# 1
First-principles (meta-GGA SCAN) data for Li2BeGaOs at its PBEsol-relaxed geometry, as listed in Alexandria via LeMat-Bulk.

The structure in POSCAR format:
```
Li2BeGaOs
1.0
3.951 0.000 0.000
0.000 3.951 0.000
0.000 0.000 4.215
Li Be Ga Os
2 1 1 1
Direct
0.000 0.500 0.000
0.500 0.000 0.000
0.000 0.000 0.000
0.500 0.500 0.500
0.000 0.000 0.500
```

Output
- energy relative to the elements (meV per atom) = 371
- V (Å³/cell) = 66

---

# 2
First-principles (meta-GGA SCAN) data for Y2RePb at its PBEsol-relaxed geometry, as listed in Alexandria via LeMat-Bulk.

The structure in POSCAR format:
```
Y2RePb
1.0
4.850 0.000 0.000
0.000 4.850 0.000
0.000 0.000 3.827
Y Re Pb
2 1 1
Direct
0.000 0.500 0.000
0.500 0.000 0.000
0.000 0.000 0.500
0.500 0.500 0.500
```

Output
- energy relative to the elements (meV per atom) = -140
- V (Å³/cell) = 90

---

# 3
First-principles (meta-GGA SCAN) data for TcTe2P at its PBEsol-relaxed geometry, as listed in Alexandria via LeMat-Bulk.

The structure in POSCAR format:
```
TcTe2P
1.0
1.630 -2.589 0.000
1.630 2.589 0.000
0.000 0.000 9.454
Tc Te P
1 2 1
Direct
0.000 0.000 0.000
0.500 0.500 0.227
0.500 0.500 0.773
0.000 0.000 0.500
```

Output
- V (Å³/cell) = 80
- VASP energy (eV per cell) = -116.82

---

# 4
First-principles (meta-GGA SCAN) data for TlAgMo2 at its PBEsol-relaxed geometry, as listed in Alexandria via LeMat-Bulk.

The structure in POSCAR format:
```
TlAgMo2
1.0
2.779 0.000 0.000
0.000 4.585 0.000
-1.008 0.000 5.417
Tl Ag Mo
1 1 2
Direct
0.000 0.000 0.000
0.000 0.000 0.500
0.494 0.500 0.724
0.506 0.500 0.276
```

Output
- energy relative to the elements (meV per atom) = 677
- V (Å³/cell) = 69

---

# 5
First-principles (meta-GGA SCAN) data for Ca3InTe at its PBEsol-relaxed geometry, as listed in Alexandria via LeMat-Bulk.

The structure in POSCAR format:
```
Ca3InTe
1.0
5.747 0.000 0.000
0.000 5.747 0.000
0.000 0.000 5.747
Ca In Te
3 1 1
Direct
0.000 0.000 0.500
0.000 0.500 0.000
0.500 0.000 0.000
0.500 0.500 0.500
0.000 0.000 0.000
```

Output
- V (Å³/cell) = 190
- VASP energy (eV per cell) = -102.29

---

# 6
First-principles (meta-GGA SCAN) data for Al3Zn2 at its PBEsol-relaxed geometry, as listed in Alexandria via LeMat-Bulk.

The structure in POSCAR format:
```
Al3Zn2
1.0
0.000 6.912 2.361
4.841 0.000 2.361
4.841 6.912 0.000
Al Zn
6 4
Direct
0.000 0.000 0.000
0.250 0.250 0.250
0.397 0.603 0.398
0.603 0.397 0.602
0.648 0.852 0.647
0.852 0.648 0.853
0.050 0.451 0.048
0.202 0.799 0.200
0.451 0.050 0.451
0.799 0.202 0.799
```

Output
- energy relative to the elements (meV per atom) = 38
- V (Å³/cell) = 158

---

# 7
First-principles (meta-GGA SCAN) data for KRuRh2 at its PBEsol-relaxed geometry, as listed in Alexandria via LeMat-Bulk.

The structure in POSCAR format:
```
KRuRh2
1.0
2.708 0.000 0.000
0.000 4.796 0.000
0.000 0.000 4.908
K Ru Rh
1 1 2
Direct
0.000 0.000 0.000
0.500 0.000 0.500
0.000 0.500 0.500
0.500 0.500 0.000
```

Output
- energy relative to the elements (meV per atom) = 1110
- V (Å³/cell) = 64

---

# 8
First-principles (meta-GGA SCAN) data for LiZn2P at its PBEsol-relaxed geometry, as listed in Alexandria via LeMat-Bulk.

The structure in POSCAR format:
```
LiZn2P
1.0
2.700 0.000 0.000
0.000 2.700 0.000
0.000 0.000 7.896
Li Zn P
1 2 1
Direct
0.000 0.000 0.000
0.000 0.000 0.492
0.500 0.500 0.740
0.500 0.500 0.233
```

Output
- energy relative to the elements (meV per atom) = 11
- V (Å³/cell) = 58

---

# 9
First-principles (meta-GGA SCAN) data for CsCa2C at its PBEsol-relaxed geometry, as listed in Alexandria via LeMat-Bulk.

The structure in POSCAR format:
```
CsCa2C
1.0
0.000 5.518 5.518
5.518 0.000 5.518
5.518 5.518 0.000
Cs Ca C
2 4 2
Direct
0.125 0.125 0.125
0.875 0.875 0.875
0.000 0.500 0.500
0.500 0.000 0.500
0.500 0.500 0.000
0.500 0.500 0.500
0.375 0.375 0.375
0.625 0.625 0.625
```

Output
- energy relative to the elements (meV per atom) = 462
- V (Å³/cell) = 336

---

# 10
First-principles (meta-GGA SCAN) data for CoTc2B2 at its PBEsol-relaxed geometry, as listed in Alexandria via LeMat-Bulk.

The structure in POSCAR format:
```
CoTc2B2
1.0
5.360 0.000 0.000
0.000 5.360 0.000
0.000 0.000 3.341
Co Tc B
2 4 4
Direct
0.000 0.000 0.000
0.500 0.500 0.000
0.178 0.322 0.500
0.322 0.822 0.500
0.678 0.178 0.500
0.822 0.678 0.500
0.119 0.619 0.000
0.381 0.119 0.000
0.619 0.881 0.000
0.881 0.381 0.000
```

Output
- energy relative to the elements (meV per atom) = -319
- V (Å³/cell) = 96

---

# 11
First-principles (meta-GGA SCAN) data for SiAgPt2 at its PBEsol-relaxed geometry, as listed in Alexandria via LeMat-Bulk.

The structure in POSCAR format:
```
SiAgPt2
1.0
0.000 3.104 3.104
3.104 0.000 3.104
3.104 3.104 0.000
Si Ag Pt
1 1 2
Direct
0.000 0.000 0.000
0.250 0.250 0.250
0.500 0.500 0.500
0.750 0.750 0.750
```

Output
- V (Å³/cell) = 60
- VASP energy (eV per cell) = -181.70

---

# 12
First-principles (meta-GGA SCAN) data for CaTa2Se at its PBEsol-relaxed geometry, as listed in Alexandria via LeMat-Bulk.

The structure in POSCAR format:
```
CaTa2Se
1.0
3.917 0.000 0.000
0.000 3.917 0.000
0.000 0.000 5.141
Ca Ta Se
1 2 1
Direct
0.000 0.000 0.000
0.000 0.500 0.500
0.500 0.000 0.500
0.500 0.500 0.000
```

Output
- V (Å³/cell) = 79
- VASP energy (eV per cell) = -161.80